The following is a GGA-PBE calculation of a relaxed structure of HfZr2Pd, from Alexandria via LeMat-Bulk.

abc: 4.8488 4.8488 4.8488
angles: 60.00 60.00 60.00
Fractional positions:
Hf 0.0000 0.0000 0.0000
Zr 0.2500 0.2500 0.2500
Zr 0.7500 0.7500 0.7500
Pd 0.5000 0.5000 0.5000

Calculated values
Distance to the lowest polymorph of the same formula in eV per atom: 0.225
ΔE_f in kJ/mol of formula units: -50
Total DFT energy (no corrections) in Ha/atom: -0.3010